# Zn3Fe5 GGA-PBE optimized geometry
# Polymorph energy (0 for the lowest one) ... 119 meV/atom
# Crystal system ... monoclinic
# Formation energy ... 0.14 eV/atom
data_Zn3Fe5
_cell_length_a 10.462
_cell_length_b 9.396
_cell_length_c 4.607
_cell_angle_alpha 90.00
_cell_angle_beta 116.02
_cell_angle_gamma 90.00
_space_group_name_H-M_alt 'C 1 2/c 1'
_space_group_IT_number 15
_space_group_name_Hall '-C 2yc'
loop_
_atom_site_label
_atom_site_type_symbol
_atom_site_fract_x
_atom_site_fract_y
_atom_site_fract_z
_atom_site_occupancy
Zn1 Zn 0.000 0.000 0.250 1
Zn2 Zn 0.173 0.327 0.173 1
Fe1 Fe 0.000 0.500 0.250 1
Fe2 Fe 0.070 0.237 0.570 1
Fe3 Fe 0.237 0.071 0.237 1